BaBiIr (PBE, optimized geometry); V = 33.86 Å³ per atom; total magnetic moment = 0.00 Bohr magnetons per cell; energy of formation from the pure elements = -0.9 eV/f.u.
1.0
-0.883 0.895 9.348
4.150 -1.373 0.523
3.683 8.695 -6.400
Ir Ba Bi
4 4 4
Cartesian
2.097 6.343 0.004
0.229 2.415 4.516
4.146 6.076 1.577
2.331 1.309 3.466
1.167 4.384 2.246
5.083 8.045 -0.692
0.909 2.213 -1.403
4.825 5.874 -4.341
-0.068 0.637 2.211
2.488 8.304 2.053
3.848 4.298 -0.728
2.722 3.271 5.514